Compound: TmHg2Pb
Source: the Alexandria database
Functional: PBE-GGA
Structure: relaxed

Cell: 3.669 3.669 7.777 Å, 90.00 90.00 90.00°
Space group P4/mmm (No. 123)
Symmetry-distinct sites (fractional):
Tm 0.000 0.000 0.000 [1 per cell]
Hg 0.500 0.500 0.231 [2 per cell]
Pb 0.000 0.000 0.500 [1 per cell]

density: 12.3 g cm⁻³
energy: -0.090 Ha/atom
magnetization: 0.000 μB per atom
calculated volume: 26.17 Å³/atom